The following is a DFT calculation (GGA-PBE) of crystalline Rb2GaB at its relaxed geometry. Values from VASP.

Cell and atoms, written as Quantum ESPRESSO input:
```
&SYSTEM
  ibrav = 0, nat = 4, ntyp = 3
/
ATOMIC_SPECIES
B 10.81 B.upf
Ga 69.72 Ga.upf
Rb 85.47 Rb.upf
CELL_PARAMETERS angstrom
0.000 4.074 4.074
4.074 0.000 4.074
4.074 4.074 0.000
ATOMIC_POSITIONS angstrom
B 0.000 0.000 0.000
Ga 4.074 4.074 4.074
Rb 2.037 2.037 2.037
Rb 6.112 6.112 6.112
```

## Properties
- ΔE to the lowest computed polymorph: 820 meV/atom
- SG: Fm-3m, No. 225
- ΔH_f (0 K): 1.19 eV/atom
- Size of the total moment: 0.00 μB per atom
- Calculated total energy: -6.868 eV per cell

The following is a DFT calculation (GGA-PBE) of crystalline Ta2SbCl at its relaxed geometry. Values from VASP.

Cell and atoms, written as Quantum ESPRESSO input:
```
&SYSTEM
  ibrav = 0, nat = 4, ntyp = 3
/
ATOMIC_SPECIES
Cl 35.45 Cl.upf
Sb 121.76 Sb.upf
Ta 180.95 Ta.upf
CELL_PARAMETERS angstrom
-3.269 -4.671 0.035
0.864 -4.038 -3.932
2.239 3.023 4.284
ATOMIC_POSITIONS angstrom
Cl -1.140 -4.127 -1.847
Sb -1.122 -3.022 1.176
Ta -2.389 -8.649 -3.870
Ta 0.877 -2.950 -0.917
```

## Properties
- ΔE_f (raw): 33.4 kJ per mole of atoms
- ΔE to the lowest computed polymorph: 561 meV/atom
- SG: Imm2, No. 44
- Size of the total moment: 0.00 μB per atom
- Calculated total energy: -28.288 eV per cell

The following is a DFT calculation (GGA-PBE) of crystalline LaSiI2 at its relaxed geometry. Values from VASP.

Cell and atoms, written as Quantum ESPRESSO input:
```
&SYSTEM
  ibrav = 0, nat = 8, ntyp = 3
/
ATOMIC_SPECIES
I 126.90 I.upf
Si 28.09 Si.upf
La 138.91 La.upf
CELL_PARAMETERS angstrom
5.082 0.000 0.000
0.000 5.082 0.000
2.541 2.541 10.702
ATOMIC_POSITIONS angstrom
I 3.787 1.271 2.676
I 1.295 3.812 2.676
I 3.812 3.836 8.027
I 6.353 6.329 8.027
Si 2.541 2.541 0.000
Si 2.541 5.082 5.351
La 0.000 0.000 0.000
La 5.082 2.541 5.351
```

## Properties
- ΔE_f (raw): -24.3 kJ per mole of atoms
- ΔE to the lowest computed polymorph: 0 meV/atom
- SG: I-42d, No. 122
- Size of the total moment: 0.00 μB per atom
- Calculated total energy: -28.915 eV per cell